Pr3Mg | PBE | optimized geometry

It has space group Fm-3m (No. 225), with a = 8.088 Å, b = 8.088 Å, c = 8.088 Å, α = 90.00°, β = 90.00° and γ = 90.00°. The distinct sites, in fractional coordinates, are Pr at (0.000, 0.000, 0.000), Pr at (0.250, 0.250, 0.250) and Mg at (0.000, 0.000, 0.500).

The density of states at the Fermi level is 5.86 states/eV/f.u. The formation energy is 0.05 eV/atom. As for the total energy: -3.93 eV/atom.